# 1
DFT (PBE) results for a relaxed structure of In2RePO.

- final energy (eV for the cell shown) = -26.2
- crystal system = tetragonal
- Fermi-level density of states (states/eV/f.u.) = 3.595
- raw formation energy (eV/atom) = 0.410

Cell: 4.993 4.993 3.817 Å, 90.00 90.00 90.00°
Space group P4/mmm (No. 123)
Unique sites:
In (0.000, 0.500, 0.000) [2 per cell]
Re (0.000, 0.000, 0.500) [1 per cell]
P (0.500, 0.500, 0.500) [1 per cell]
O (0.000, 0.000, 0.000) [1 per cell]

# 2
DFT (PBE) results for a relaxed structure of InRePO2.

- final energy (eV for the cell shown) = -34.3
- crystal system = tetragonal
- Fermi-level density of states (states/eV/f.u.) = 2.436
- raw formation energy (eV/atom) = -0.762

Cell: 3.850 3.850 5.188 Å, 90.00 90.00 90.00°
Space group P4/mmm (No. 123)
Unique sites:
In (0.000, 0.000, 0.000) [1 per cell]
Re (0.500, 0.500, 0.500) [1 per cell]
P (0.500, 0.500, 0.000) [1 per cell]
O (0.000, 0.500, 0.500) [2 per cell]

# 3
DFT (PBE) results for a relaxed structure of InRePO2.

- final energy (eV for the cell shown) = -27.1
- crystal system = tetragonal
- Fermi-level density of states (states/eV/f.u.) = 2.118
- raw formation energy (eV/atom) = 0.688

Cell: 3.892 3.892 6.025 Å, 90.00 90.00 90.00°
Space group P4/mmm (No. 123)
Unique sites:
In (0.000, 0.000, 0.000) [1 per cell]
Re (0.500, 0.500, 0.500) [1 per cell]
P (0.000, 0.000, 0.500) [1 per cell]
O (0.000, 0.500, 0.000) [2 per cell]

What is the formula in the third record?
InRePO2